Entry 1:
Density functional theory data (GGA-PBE) for a relaxed structure of BaB3Ir.

Output
The value obtained for the density of states at the Fermi level is 0.729 states/eV per atom. As for the polymorph energy (0 for the lowest one): 3.062 eV/atom. As for the space group: Pm-3m. As for the crystal system: cubic. The formation energy comes out at 3457 meV per atom. For the density, the calculation gives 6.7 Mg/m³.

abc: 4.4730 4.4730 4.4730
angles: 90.00 90.00 90.00
Fractional positions:
B  0.5000  0.0000  0.0000
B  0.0000  0.0000  0.5000
B  0.0000  0.5000  0.0000
Ir  0.5000  0.5000  0.5000
Ba  0.0000  0.0000  0.0000

=====

Entry 2:
Density functional theory data (GGA-PBE) for a relaxed structure of Sr2GaN.

Output
The value obtained for the density of states at the Fermi level is 0.501 states/eV per atom. As for the space group: I-42d. As for the crystal system: tetragonal. For the density, the calculation gives 3.7 Mg/m³. The calculation puts the electronic total energy at -3.83 eV per atom.

abc: 7.5266 7.5266 6.7049
angles: 55.86 55.86 90.00
Fractional positions:
Ga  0.7500  0.2500  0.5000
Ga  0.0000  0.0000  0.0000
Sr  0.5317  0.1250  0.2500
Sr  0.8750  0.7817  0.7500
Sr  0.3750  0.4683  0.7500
Sr  0.2183  0.6250  0.2500
N  0.2500  0.7500  0.5000
N  0.5000  0.5000  0.0000

=====

Repeat the second record exactly.
Density functional theory data (GGA-PBE) for a relaxed structure of Sr2GaN.

Output
The value obtained for the density of states at the Fermi level is 0.501 states/eV per atom. As for the space group: I-42d. As for the crystal system: tetragonal. For the density, the calculation gives 3.7 Mg/m³. The calculation puts the electronic total energy at -3.83 eV per atom.

abc: 7.5266 7.5266 6.7049
angles: 55.86 55.86 90.00
Fractional positions:
Ga  0.7500  0.2500  0.5000
Ga  0.0000  0.0000  0.0000
Sr  0.5317  0.1250  0.2500
Sr  0.8750  0.7817  0.7500
Sr  0.3750  0.4683  0.7500
Sr  0.2183  0.6250  0.2500
N  0.2500  0.7500  0.5000
N  0.5000  0.5000  0.0000